# 1
Computed, not measured: a relaxed structure of Nd2Ag3Pd at the PBE level of DFT.

## Properties
As for the uncorrected energy: -4.2593 eV/atom. As for the calculated formation energy: -2.27 eV per formula unit. The space group is No. 25.

a b c (Å): 3.650 4.809 8.081
angles (deg): 90.00 90.00 90.00
Positions (direct):
Nd (0.000, 0.000, 0.000)
Nd (0.000, 0.500, 0.461)
Ag (0.500, 0.000, 0.645)
Ag (0.500, 0.500, 0.143)
Ag (0.500, 0.500, 0.806)
Pd (0.500, 0.000, 0.307)



# 2
Computed, not measured: a relaxed structure of AcNd2As at the PBE level of DFT.

## Properties
As for the uncorrected energy: -5.0604 eV/atom. As for the calculated formation energy: -1.95 eV per formula unit. The value obtained for the excess energy over the best structure of this formula in the dataset is 171 meV/atom. The space group is No. 166.

a b c (Å): 11.182 11.182 11.182
angles (deg): 20.60 20.60 20.60
Positions (direct):
Ac (0.000, 0.000, 0.000)
Nd (0.114, 0.114, 0.114)
Nd (0.886, 0.886, 0.886)
As (0.500, 0.500, 0.500)



# 3
Computed, not measured: a relaxed structure of BaIn2H at the PBE level of DFT.

## Properties
As for the uncorrected energy: -2.6764 eV/atom. The space group is No. 122.

a b c (Å): 6.776 6.776 6.776
angles (deg): 119.84 119.84 90.28
Positions (direct):
Ba (0.000, 0.000, 0.000)
Ba (0.750, 0.250, 0.500)
In (0.345, 0.625, 0.220)
In (0.375, 0.595, 0.720)
In (0.405, 0.125, 0.780)
In (0.875, 0.655, 0.280)
H (0.250, 0.750, 0.500)
H (0.500, 0.500, 0.000)